# 1
DFT (PBE) results for a relaxed structure of SrV2CrS8.

Cell: 6.0347 6.0347 24.5329 Å, 90.00 90.00 120.00°
Space group R-3 (No. 148, hexagonal axes)
Inequivalent atoms, fractional coordinates:
Sr1 0.0000 0.0000 0.0000
V1 0.0000 0.0000 0.2465
Cr1 0.0000 0.0000 0.5000
S1 0.0000 0.0000 0.3325
S2 0.0090 0.3535 0.2234

Calculated values
mass density	3.21	g/cm³
magnetic moment	0.16	μB per atom
N(E_F)	17.20	states/eV per cell
formation energy from raw total energies	-69.92	kJ per mole of atoms

=====

# 2
DFT (PBE) results for a relaxed structure of TaCrS2.

Cell: 6.111 6.111 6.111 Å, 90.00 90.00 90.00°
Space group Fm-3m (No. 225)
Inequivalent atoms, fractional coordinates:
Ta1 0.000 0.000 0.000
Cr1 0.000 0.000 0.500
S1 0.250 0.250 0.250

Calculated values
mass density	8.65	g/cm³
magnetic moment	0.75	μB per atom
N(E_F)	1.32	states/eV per cell
formation energy from raw total energies	-33.86	kJ per mole of atoms

=====

# 3
DFT (PBE) results for a relaxed structure of TaCrS2.

Cell: 2.9696 2.9696 23.9999 Å, 90.00 90.00 120.00°
Space group R-3m (No. 166, hexagonal axes)
Inequivalent atoms, fractional coordinates:
Ta1 0.0000 0.0000 0.0000
Cr1 0.0000 0.0000 0.5000
S1 0.0000 0.0000 0.1030

Calculated values
mass density	8.07	g/cm³
magnetic moment	0.00	μB per atom
N(E_F)	9.06	states/eV per cell
formation energy from raw total energies	-23.92	kJ per mole of atoms

=====

# 4
DFT (PBE) results for a relaxed structure of Ta3CrS6.

Cell: 9.1321 9.1321 18.0056 Å, 90.00 90.00 120.00°
Space group R-3 (No. 148, hexagonal axes)
Inequivalent atoms, fractional coordinates:
Ta1 0.0342 0.5924 0.3257
Cr1 0.0000 0.0000 0.0000
Cr2 0.0000 0.0000 0.5000
S1 0.0529 0.8244 0.4047
S2 0.0619 0.8430 0.9083

Calculated values
mass density	6.03	g/cm³
magnetic moment	0.18	μB per atom
N(E_F)	42.28	states/eV per cell
formation energy from raw total energies	-69.18	kJ per mole of atoms

=====

# 5
DFT (PBE) results for a relaxed structure of TaCr2S.

Cell: 6.938 6.938 4.895 Å, 90.00 90.00 90.00°
Space group I-42d (No. 122)
Inequivalent atoms, fractional coordinates:
Ta1 0.000 0.000 0.000
Cr1 0.162 0.250 0.625
S1 0.000 0.000 0.500

Calculated values
mass density	8.94	g/cm³
magnetic moment	0.36	μB per atom
N(E_F)	19.20	states/eV per cell
formation energy from raw total energies	23.40	kJ per mole of atoms

=====

# 6
DFT (PBE) results for a relaxed structure of TaCr2S6.

Cell: 16.035 3.383 7.513 Å, 90.00 112.04 90.00°
Space group C2/m (No. 12)
Inequivalent atoms, fractional coordinates:
Ta1 0.000 0.000 0.000
Cr1 0.163 0.500 0.324
S1 0.005 0.500 0.243
S2 0.164 0.000 0.102
S3 0.178 0.000 0.554

Calculated values
mass density	4.20	g/cm³
magnetic moment	0.54	μB per atom
N(E_F)	10.39	states/eV per cell
formation energy from raw total energies	-71.19	kJ per mole of atoms

=====

# 7
DFT (PBE) results for a relaxed structure of Ta3CrS6.

Cell: 5.7631 5.7631 12.2379 Å, 90.00 90.00 120.00°
Space group P6_322 (No. 182)
Inequivalent atoms, fractional coordinates:
Ta1 0.0000 0.0000 0.0000
Ta2 0.3333 0.6667 0.0024
Cr1 0.3333 0.6667 0.7500
S1 0.0006 0.3326 0.6293

Calculated values
mass density	7.43	g/cm³
magnetic moment	0.30	μB per atom
N(E_F)	3.68	states/eV per cell
formation energy from raw total energies	-102.85	kJ per mole of atoms

=====

# 8
DFT (PBE) results for a relaxed structure of Ta2Cr2S7.

Cell: 7.049 10.470 6.495 Å, 90.00 96.21 90.00°
Space group C2/m (No. 12)
Inequivalent atoms, fractional coordinates:
Ta1 0.000 0.147 0.000
Cr1 0.240 0.000 0.646
S1 0.000 0.500 0.500
S2 0.095 0.000 0.280
S3 0.241 0.300 0.208

Calculated values
mass density	4.81	g/cm³
magnetic moment	0.52	μB per atom
N(E_F)	8.11	states/eV per cell
formation energy from raw total energies	-57.58	kJ per mole of atoms